1.
Material: SmEuPb2
Method: DFT, GGA-PBE
State: optimized geometry

For the electronic total energy, the calculation gives -6.10 eV per atom. The calculation puts the energy relative to the elements at -496 meV per atom. For the calculated volume, the calculation gives 121.56 Å³/cell. The total magnetization is 7.29 μB per formula unit. As for the density: 9.79 Mg/m³.

The structure belongs to space group P4/mmm (No. 123); the cell edges are 5.178, 5.178 and 4.533 Å and the angles 90.00°, 90.00° and 90.00°. The asymmetric unit holds Sm at (0.000, 0.000, 0.000), Eu at (0.500, 0.500, 0.000) and Pb at (0.000, 0.500, 0.500).



2.
Material: Sm2EuPb
Method: DFT, GGA-PBE
State: optimized geometry

For the electronic total energy, the calculation gives -5.76 eV per atom. The calculation puts the energy relative to the elements at 93 meV per atom. For the calculated volume, the calculation gives 426.42 Å³/cell. The total magnetization is 7.54 μB per formula unit. As for the density: 7.71 Mg/m³.

The structure belongs to space group R-3m (No. 166, hexagonal axes); the cell edges are 3.6264, 3.6264 and 37.4413 Å and the angles 90.00°, 90.00° and 120.00°. The asymmetric unit holds Sm at (0.0000, 0.0000, 0.0856), Eu at (0.0000, 0.0000, 0.5000) and Pb at (0.0000, 0.0000, 0.0000).